# Ac2MgZn2

Ac2MgZn2 after structural relaxation (PBE, Alexandria via LeMat-Bulk).

Properties
size of the total moment	0.00	μB/atom
energy relative to the elements	-1.049	eV/f.u.
Fermi-level density of states	1.116	states/eV per atom
ΔE to the lowest computed polymorph	0	kJ/mol of formula units

Lattice parameters (Å, degrees): 7.731 7.731 4.876 90.00 90.00 90.00
Space group P4/mbm (No. 127)
Symmetry-distinct sites (fractional):
Ac 0.173 0.327 0.000 (multiplicity 4)
Mg 0.000 0.000 0.500 (multiplicity 2)
Zn 0.125 0.625 0.500 (multiplicity 4)



# NpNiTe2

NpNiTe2 after structural relaxation (PBE, Alexandria via LeMat-Bulk).

Properties
size of the total moment	0.99	μB/atom
Fermi-level density of states	1.825	states/eV per atom
ΔE to the lowest computed polymorph	108	kJ/mol of formula units

Lattice parameters (Å, degrees): 4.946 10.030 3.982 90.00 90.00 90.00
Space group Imm2 (No. 44)
Symmetry-distinct sites (fractional):
Np 0.000 0.000 0.000 (multiplicity 2)
Ni 0.000 0.500 0.281 (multiplicity 2)
Te 0.000 0.330 0.820 (multiplicity 4)



# AcTbPdRh

AcTbPdRh after structural relaxation (PBE, Alexandria via LeMat-Bulk).

Properties
size of the total moment	0.00	μB/atom
energy relative to the elements	-2.757	eV/f.u.
Fermi-level density of states	0.757	states/eV per atom
ΔE to the lowest computed polymorph	33	kJ/mol of formula units

Lattice parameters (Å, degrees): 7.247 7.247 7.247 90.00 90.00 90.00
Space group F-43m (No. 216)
Symmetry-distinct sites (fractional):
Ac 0.000 0.000 0.000 (multiplicity 4)
Tb 0.000 0.000 0.500 (multiplicity 4)
Pd 0.250 0.250 0.750 (multiplicity 4)
Rh 0.250 0.250 0.250 (multiplicity 4)



# TeRh2

TeRh2 after structural relaxation (PBE, Alexandria via LeMat-Bulk).

Properties
size of the total moment	0.00	μB/atom
Fermi-level density of states	0.376	states/eV per atom
ΔE to the lowest computed polymorph	95	kJ/mol of formula units

Lattice parameters (Å, degrees): 6.165 6.165 6.165 90.00 90.00 90.00
Space group Pa-3 (No. 205)
Symmetry-distinct sites (fractional):
Te 0.000 0.000 0.000 (multiplicity 4)
Rh 0.134 0.634 0.866 (multiplicity 8)



# LiFe

LiFe after structural relaxation (PBE, Alexandria via LeMat-Bulk).

Properties
size of the total moment	1.28	μB/atom
energy relative to the elements	0.580	eV/f.u.
Fermi-level density of states	0.860	states/eV per atom

Lattice parameters (Å, degrees): 9.747 9.747 2.493 90.00 90.00 90.00
Space group I4/m (No. 87)
Symmetry-distinct sites (fractional):
Li 0.116 0.825 0.000 (multiplicity 8)
Fe 0.075 0.365 0.000 (multiplicity 8)



# Cd2CuHg

Cd2CuHg after structural relaxation (PBE, Alexandria via LeMat-Bulk).

Properties
size of the total moment	0.00	μB/atom
energy relative to the elements	0.568	eV/f.u.
Fermi-level density of states	0.335	states/eV per atom

Lattice parameters (Å, degrees): 5.939 8.430 3.195 90.00 90.21 90.00
Space group C2/m (No. 12)
Symmetry-distinct sites (fractional):
Cd 0.250 0.250 0.000 (multiplicity 4)
Cu 0.000 0.000 0.500 (multiplicity 2)
Hg 0.000 0.500 0.500 (multiplicity 2)